Material: PdPt3Rh
Method: DFT, PBE-GGA
State: optimized geometry

abc: 4.3440 4.3440 10.1703
angles: 90.00 90.00 120.00
Space group P6_3/mmc (No. 194)
One atom of each set of equivalent atoms:
Pd1 0.3333 0.6667 0.2500 (multiplicity 2)
Pt1 0.0000 0.0000 0.2500 (multiplicity 2)
Pt2 0.3333 0.6667 0.6029 (multiplicity 4)
Rh1 0.0000 0.0000 0.0000 (multiplicity 2)

Computed properties:
Energy of formation from the pure elements   0.398 eV/atom
Crystal system   hexagonal
Polymorph energy (0 for the lowest one)   0.123 eV per atom